[1]
# LaFeSi | the Alexandria database | GGA-PBEsol | optimized geometry
# Formation energy without anion corrections, eV/atom: -0.24
# Magnetization, μB/cell: 0.00
data_LaFeSi
_chemical_formula_sum 'La2 Fe2 Si2'
_cell_length_a 3.021
_cell_length_b 3.021
_cell_length_c 11.101
_cell_angle_alpha 90.00
_cell_angle_beta 90.00
_cell_angle_gamma 90.00
_space_group_name_H-M_alt 'I 4 m m'
_space_group_IT_number 107
_space_group_name_Hall 'I 4 -2'
loop_
_atom_site_label
_atom_site_type_symbol
_atom_site_fract_x
_atom_site_fract_y
_atom_site_fract_z
_atom_site_occupancy
La1 La 0.000 0.000 0.000 1
Fe1 Fe 0.000 0.000 0.306 1
Si1 Si 0.000 0.000 0.717 1

[2]
# LaFeSi | the Alexandria database | GGA-PBEsol | optimized geometry
# Formation energy without anion corrections, eV/atom: -0.63
# Magnetization, μB/cell: 0.00
data_LaFeSi
_chemical_formula_sum 'La2 Fe2 Si2'
_cell_length_a 4.045
_cell_length_b 4.045
_cell_length_c 6.992
_cell_angle_alpha 90.00
_cell_angle_beta 90.00
_cell_angle_gamma 90.00
_space_group_name_H-M_alt 'P 4/n m m'
_space_group_IT_number 129
loop_
_space_group_symop_operation_xyz
'x,y,z'
'-x,-y,-z'
'-y+1/2,x,z'
'y+1/2,-x,-z'
'-x+1/2,-y+1/2,z'
'x+1/2,y+1/2,-z'
'y,-x+1/2,z'
'-y,x+1/2,-z'
'x+1/2,-y,-z'
'-x+1/2,y,z'
'-y,-x,-z'
'y,x,z'
'-x,y+1/2,-z'
'x,-y+1/2,z'
'y+1/2,x+1/2,-z'
'-y+1/2,-x+1/2,z'
loop_
_atom_site_label
_atom_site_type_symbol
_atom_site_fract_x
_atom_site_fract_y
_atom_site_fract_z
_atom_site_occupancy
La1 La 0.250 0.250 0.187 1
Fe1 Fe 0.250 0.750 0.500 1
Si1 Si 0.250 0.250 0.658 1

[3]
# LaFe3Sn | the Alexandria database | GGA-PBEsol | optimized geometry
# Magnetization, μB/cell: 6.92
data_LaFe3Sn
_chemical_formula_sum 'La1 Fe3 Sn1'
_cell_length_a 4.766
_cell_length_b 4.766
_cell_length_c 4.766
_cell_angle_alpha 90.00
_cell_angle_beta 90.00
_cell_angle_gamma 90.00
_space_group_name_H-M_alt 'P m -3 m'
_space_group_IT_number 221
_space_group_name_Hall '-P 4 2 3'
loop_
_atom_site_label
_atom_site_type_symbol
_atom_site_fract_x
_atom_site_fract_y
_atom_site_fract_z
_atom_site_occupancy
La1 La 0.000 0.000 0.000 1
Fe1 Fe 0.000 0.500 0.500 1
Sn1 Sn 0.500 0.500 0.500 1

[4]
# La2FeSn4 | the Alexandria database | GGA-PBEsol | optimized geometry
# Magnetization, μB/cell: 3.41
data_La2FeSn4
_chemical_formula_sum 'La4 Fe2 Sn8'
_cell_length_a 4.574
_cell_length_b 4.619
_cell_length_c 16.823
_cell_angle_alpha 90.00
_cell_angle_beta 90.00
_cell_angle_gamma 90.00
_space_group_name_H-M_alt 'A m m 2'
_space_group_IT_number 38
loop_
_space_group_symop_operation_xyz
'x,y,z'
'-x,-y,z'
'-x,y,z'
'x,-y,z'
'x,y+1/2,z+1/2'
'-x,-y+1/2,z+1/2'
'-x,y+1/2,z+1/2'
'x,-y+1/2,z+1/2'
loop_
_atom_site_label
_atom_site_type_symbol
_atom_site_fract_x
_atom_site_fract_y
_atom_site_fract_z
_atom_site_occupancy
La1 La 0.000 0.000 0.000 1
La2 La 0.500 0.000 0.205 1
Fe1 Fe 0.500 0.000 0.405 1
Sn1 Sn 0.000 0.000 0.347 1
Sn2 Sn 0.000 0.000 0.670 1
Sn3 Sn 0.500 0.000 0.553 1
Sn4 Sn 0.500 0.000 0.846 1

[5]
# La3FeSn | the Alexandria database | GGA-PBEsol | optimized geometry
# Magnetization, μB/cell: 0.00
data_La3FeSn
_chemical_formula_sum 'La3 Fe1 Sn1'
_cell_length_a 5.152
_cell_length_b 5.152
_cell_length_c 5.152
_cell_angle_alpha 90.00
_cell_angle_beta 90.00
_cell_angle_gamma 90.00
_space_group_name_H-M_alt 'P m -3 m'
_space_group_IT_number 221
_space_group_name_Hall '-P 4 2 3'
loop_
_atom_site_label
_atom_site_type_symbol
_atom_site_fract_x
_atom_site_fract_y
_atom_site_fract_z
_atom_site_occupancy
La1 La 0.000 0.000 0.500 1
Fe1 Fe 0.000 0.000 0.000 1
Sn1 Sn 0.500 0.500 0.500 1

[6]
# SrLa2Fe | the Alexandria database | GGA-PBEsol | optimized geometry
# Magnetization, μB/cell: 0.00
data_SrLa2Fe
_chemical_formula_sum 'Sr3 La6 Fe3'
_cell_length_a 4.0040
_cell_length_b 4.0040
_cell_length_c 28.7547
_cell_angle_alpha 90.00
_cell_angle_beta 90.00
_cell_angle_gamma 120.00
_space_group_name_H-M_alt 'R -3 m'
_space_group_IT_number 166
_space_group_name_Hall '-R 3 2"'
loop_
_atom_site_label
_atom_site_type_symbol
_atom_site_fract_x
_atom_site_fract_y
_atom_site_fract_z
_atom_site_occupancy
Sr1 Sr 0.0000 0.0000 0.0000 1
La1 La 0.0000 0.0000 0.2161 1
Fe1 Fe 0.0000 0.0000 0.5000 1

[7]
# SrLa2Fe | the Alexandria database | GGA-PBEsol | optimized geometry
# Magnetization, μB/cell: 2.18
data_SrLa2Fe
_chemical_formula_sum 'Sr1 La2 Fe1'
_cell_length_a 5.082
_cell_length_b 5.082
_cell_length_c 4.517
_cell_angle_alpha 90.00
_cell_angle_beta 90.00
_cell_angle_gamma 90.00
_space_group_name_H-M_alt 'P 4/m m m'
_space_group_IT_number 123
_space_group_name_Hall '-P 4 2'
loop_
_atom_site_label
_atom_site_type_symbol
_atom_site_fract_x
_atom_site_fract_y
_atom_site_fract_z
_atom_site_occupancy
Sr1 Sr 0.000 0.000 0.000 1
La1 La 0.000 0.500 0.500 1
Fe1 Fe 0.500 0.500 0.000 1

[8]
# SrLa2Fe | the Alexandria database | GGA-PBEsol | optimized geometry
# Magnetization, μB/cell: 0.00
data_SrLa2Fe
_chemical_formula_sum 'Sr1 La2 Fe1'
_cell_length_a 3.882
_cell_length_b 3.882
_cell_length_c 9.131
_cell_angle_alpha 90.00
_cell_angle_beta 90.00
_cell_angle_gamma 90.00
_space_group_name_H-M_alt 'P 4 m m'
_space_group_IT_number 99
loop_
_space_group_symop_operation_xyz
'x,y,z'
'-y,x,z'
'-x,-y,z'
'y,-x,z'
'-x,y,z'
'y,x,z'
'x,-y,z'
'-y,-x,z'
loop_
_atom_site_label
_atom_site_type_symbol
_atom_site_fract_x
_atom_site_fract_y
_atom_site_fract_z
_atom_site_occupancy
Sr1 Sr 0.000 0.000 0.000 1
La1 La 0.000 0.000 0.402 1
La2 La 0.500 0.500 0.671 1
Fe1 Fe 0.500 0.500 0.433 1

[9]
# SrLa2Fe | the Alexandria database | GGA-PBEsol | optimized geometry
# Magnetization, μB/cell: 0.93
data_SrLa2Fe
_chemical_formula_sum 'Sr1 La2 Fe1'
_cell_length_a 3.534
_cell_length_b 3.534
_cell_length_c 9.957
_cell_angle_alpha 90.00
_cell_angle_beta 90.00
_cell_angle_gamma 90.00
_space_group_name_H-M_alt 'P 4/m m m'
_space_group_IT_number 123
_space_group_name_Hall '-P 4 2'
loop_
_atom_site_label
_atom_site_type_symbol
_atom_site_fract_x
_atom_site_fract_y
_atom_site_fract_z
_atom_site_occupancy
Sr1 Sr 0.000 0.000 0.000 1
La1 La 0.500 0.500 0.338 1
Fe1 Fe 0.000 0.000 0.500 1

[10]
# Sr2LaFe | the Alexandria database | GGA-PBEsol | optimized geometry
# Magnetization, μB/cell: 5.31
data_Sr2LaFe
_chemical_formula_sum 'Sr4 La2 Fe2'
_cell_length_a 6.960
_cell_length_b 10.117
_cell_length_c 3.694
_cell_angle_alpha 90.00
_cell_angle_beta 90.00
_cell_angle_gamma 90.00
_space_group_name_H-M_alt 'C m m m'
_space_group_IT_number 65
_space_group_name_Hall '-C 2 2'
loop_
_atom_site_label
_atom_site_type_symbol
_atom_site_fract_x
_atom_site_fract_y
_atom_site_fract_z
_atom_site_occupancy
Sr1 Sr 0.250 0.250 0.000 1
La1 La 0.000 0.000 0.500 1
Fe1 Fe 0.000 0.500 0.500 1

[11]
# SrLa2Fe | the Alexandria database | GGA-PBEsol | optimized geometry
# Magnetization, μB/cell: 1.73
data_SrLa2Fe
_chemical_formula_sum 'Sr2 La4 Fe2'
_cell_length_a 4.460
_cell_length_b 5.578
_cell_length_c 10.046
_cell_angle_alpha 90.00
_cell_angle_beta 90.00
_cell_angle_gamma 90.00
_space_group_name_H-M_alt 'C m m m'
_space_group_IT_number 65
_space_group_name_Hall '-C 2 2'
loop_
_atom_site_label
_atom_site_type_symbol
_atom_site_fract_x
_atom_site_fract_y
_atom_site_fract_z
_atom_site_occupancy
Sr1 Sr 0.000 0.000 0.000 1
La1 La 0.000 0.500 0.340 1
Fe1 Fe 0.000 0.000 0.500 1

[12]
# Sr2LaFe | the Alexandria database | GGA-PBEsol | optimized geometry
# Magnetization, μB/cell: 1.86
data_Sr2LaFe
_chemical_formula_sum 'Sr2 La1 Fe1'
_cell_length_a 4.732
_cell_length_b 4.732
_cell_length_c 5.589
_cell_angle_alpha 90.00
_cell_angle_beta 90.00
_cell_angle_gamma 90.00
_space_group_name_H-M_alt 'P 4/m m m'
_space_group_IT_number 123
_space_group_name_Hall '-P 4 2'
loop_
_atom_site_label
_atom_site_type_symbol
_atom_site_fract_x
_atom_site_fract_y
_atom_site_fract_z
_atom_site_occupancy
Sr1 Sr 0.000 0.500 0.000 1
La1 La 0.000 0.000 0.500 1
Fe1 Fe 0.500 0.500 0.500 1

[13]
# Sr2LaFe | the Alexandria database | GGA-PBEsol | optimized geometry
# Magnetization, μB/cell: 2.34
data_Sr2LaFe
_chemical_formula_sum 'Sr2 La1 Fe1'
_cell_length_a 3.616
_cell_length_b 3.616
_cell_length_c 10.016
_cell_angle_alpha 90.00
_cell_angle_beta 90.00
_cell_angle_gamma 90.00
_space_group_name_H-M_alt 'P 4/m m m'
_space_group_IT_number 123
_space_group_name_Hall '-P 4 2'
loop_
_atom_site_label
_atom_site_type_symbol
_atom_site_fract_x
_atom_site_fract_y
_atom_site_fract_z
_atom_site_occupancy
Sr1 Sr 0.000 0.000 0.190 1
La1 La 0.500 0.500 0.500 1
Fe1 Fe 0.500 0.500 0.000 1

[14]
# LaTaFe3 | the Alexandria database | GGA-PBEsol | optimized geometry
# Magnetization, μB/cell: 1.81
data_LaTaFe3
_chemical_formula_sum 'La1 Ta1 Fe3'
_cell_length_a 4.346
_cell_length_b 4.346
_cell_length_c 4.346
_cell_angle_alpha 90.00
_cell_angle_beta 90.00
_cell_angle_gamma 90.00
_space_group_name_H-M_alt 'P m -3 m'
_space_group_IT_number 221
_space_group_name_Hall '-P 4 2 3'
loop_
_atom_site_label
_atom_site_type_symbol
_atom_site_fract_x
_atom_site_fract_y
_atom_site_fract_z
_atom_site_occupancy
La1 La 0.000 0.000 0.000 1
Ta1 Ta 0.500 0.500 0.500 1
Fe1 Fe 0.000 0.000 0.500 1

[15]
# La3TaFe | the Alexandria database | GGA-PBEsol | optimized geometry
# Magnetization, μB/cell: 2.70
data_La3TaFe
_chemical_formula_sum 'La3 Ta1 Fe1'
_cell_length_a 5.121
_cell_length_b 5.121
_cell_length_c 5.121
_cell_angle_alpha 90.00
_cell_angle_beta 90.00
_cell_angle_gamma 90.00
_space_group_name_H-M_alt 'P m -3 m'
_space_group_IT_number 221
_space_group_name_Hall '-P 4 2 3'
loop_
_atom_site_label
_atom_site_type_symbol
_atom_site_fract_x
_atom_site_fract_y
_atom_site_fract_z
_atom_site_occupancy
La1 La 0.000 0.000 0.500 1
Ta1 Ta 0.500 0.500 0.500 1
Fe1 Fe 0.000 0.000 0.000 1

[16]
# LaTa2Fe | the Alexandria database | GGA-PBEsol | optimized geometry
# Magnetization, μB/cell: 2.08
data_LaTa2Fe
_chemical_formula_sum 'La2 Ta4 Fe2'
_cell_length_a 3.893
_cell_length_b 3.893
_cell_length_c 9.863
_cell_angle_alpha 90.00
_cell_angle_beta 90.00
_cell_angle_gamma 90.00
_space_group_name_H-M_alt 'I 4/m m m'
_space_group_IT_number 139
_space_group_name_Hall '-I 4 2'
loop_
_atom_site_label
_atom_site_type_symbol
_atom_site_fract_x
_atom_site_fract_y
_atom_site_fract_z
_atom_site_occupancy
La1 La 0.000 0.000 0.000 1
Ta1 Ta 0.000 0.500 0.250 1
Fe1 Fe 0.000 0.000 0.500 1

[17]
# LaTa2Fe | the Alexandria database | GGA-PBEsol | optimized geometry
# Magnetization, μB/cell: 2.69
data_LaTa2Fe
_chemical_formula_sum 'La2 Ta4 Fe2'
_cell_length_a 5.301
_cell_length_b 10.048
_cell_length_c 2.809
_cell_angle_alpha 90.00
_cell_angle_beta 90.00
_cell_angle_gamma 90.00
_space_group_name_H-M_alt 'C m m m'
_space_group_IT_number 65
_space_group_name_Hall '-C 2 2'
loop_
_atom_site_label
_atom_site_type_symbol
_atom_site_fract_x
_atom_site_fract_y
_atom_site_fract_z
_atom_site_occupancy
La1 La 0.000 0.000 0.000 1
Ta1 Ta 0.250 0.250 0.500 1
Fe1 Fe 0.000 0.500 0.000 1

[18]
# LaTaFe2 | the Alexandria database | GGA-PBEsol | optimized geometry
# Magnetization, μB/cell: 4.01
data_LaTaFe2
_chemical_formula_sum 'La2 Ta2 Fe4'
_cell_length_a 3.691
_cell_length_b 3.691
_cell_length_c 9.659
_cell_angle_alpha 90.00
_cell_angle_beta 90.00
_cell_angle_gamma 90.00
_space_group_name_H-M_alt 'I -4 m 2'
_space_group_IT_number 119
_space_group_name_Hall 'I -4 -2'
loop_
_atom_site_label
_atom_site_type_symbol
_atom_site_fract_x
_atom_site_fract_y
_atom_site_fract_z
_atom_site_occupancy
La1 La 0.000 0.000 0.000 1
Ta1 Ta 0.000 0.500 0.250 1
Fe1 Fe 0.000 0.000 0.500 1
Fe2 Fe 0.000 0.500 0.750 1

[19]
# LaTa2Fe | the Alexandria database | GGA-PBEsol | optimized geometry
# Magnetization, μB/cell: 0.83
data_LaTa2Fe
_chemical_formula_sum 'La1 Ta2 Fe1'
_cell_length_a 3.854
_cell_length_b 3.854
_cell_length_c 5.057
_cell_angle_alpha 90.00
_cell_angle_beta 90.00
_cell_angle_gamma 90.00
_space_group_name_H-M_alt 'P 4/m m m'
_space_group_IT_number 123
_space_group_name_Hall '-P 4 2'
loop_
_atom_site_label
_atom_site_type_symbol
_atom_site_fract_x
_atom_site_fract_y
_atom_site_fract_z
_atom_site_occupancy
La1 La 0.000 0.000 0.000 1
Ta1 Ta 0.000 0.500 0.500 1
Fe1 Fe 0.500 0.500 0.000 1

[20]
# LaFeTc3 | the Alexandria database | GGA-PBEsol | optimized geometry
# Magnetization, μB/cell: 2.74
data_LaFeTc3
_chemical_formula_sum 'La1 Fe1 Tc3'
_cell_length_a 4.622
_cell_length_b 4.622
_cell_length_c 4.622
_cell_angle_alpha 90.00
_cell_angle_beta 90.00
_cell_angle_gamma 90.00
_space_group_name_H-M_alt 'P m -3 m'
_space_group_IT_number 221
_space_group_name_Hall '-P 4 2 3'
loop_
_atom_site_label
_atom_site_type_symbol
_atom_site_fract_x
_atom_site_fract_y
_atom_site_fract_z
_atom_site_occupancy
La1 La 0.000 0.000 0.000 1
Fe1 Fe 0.500 0.500 0.500 1
Tc1 Tc 0.000 0.000 0.500 1

| no. | DFT total energy (eV/cell) |
| --- | --- |
| 1 | -41.534 |
| 2 | -43.878 |
| 3 | -32.099 |
| 4 | -81.391 |
| 5 | -31.246 |
| 6 | -62.593 |
| 7 | -19.153 |
| 8 | -20.299 |
| 9 | -20.656 |
| 10 | -29.922 |
| 11 | -41.386 |
| 12 | -15.316 |
| 13 | -15.678 |
| 14 | -35.955 |
| 15 | -34.203 |
| 16 | -73.644 |
| 17 | -72.860 |
| 18 | -66.766 |
| 19 | -36.679 |
| 20 | -35.848 |